SrAcN PBE relaxed; formation energy from raw total energies = -0.3554 eV/atom; excess energy over the best structure of this formula in the dataset = 0.288 eV/atom; SG = C2/m; magnetization = 0.0 Bohr magnetons per cell
1.0
-3.074 -1.261 -3.982
1.952 -4.757 -0.677
-4.932 -5.559 1.619
Ac Sr N
2 2 2
direct
0.753 0.247 0.000 Ac
0.247 0.753 0.000 Ac
0.780 0.220 0.500 Sr
0.220 0.780 0.500 Sr
0.777 0.777 0.875 N
0.223 0.223 0.125 N